[1]
# LiGaS2 PBE relaxed
data_LiGaS2
_cell_length_a 3.739
_cell_length_b 3.739
_cell_length_c 5.789
_cell_angle_alpha 90.00
_cell_angle_beta 90.00
_cell_angle_gamma 90.00
_symmetry_space_group_name_H-M 'P -4 m 2'
_symmetry_Int_Tables_number 115
loop_
_symmetry_equiv_pos_as_xyz
'x,y,z'
'y,-x,-z'
'-x,-y,z'
'-y,x,-z'
'-x,y,z'
'-y,-x,-z'
'x,-y,z'
'y,x,-z'
loop_
_atom_site_label
_atom_site_fract_x
_atom_site_fract_y
_atom_site_fract_z
Li1 0.000 0.000 0.000
Ga1 0.500 0.500 0.500
S1 0.000 0.500 0.736
# magnetization: 0.0 μB/cell
# ΔE_f (raw): -1.008 eV per atom

[2]
# K2Sm2NpS6 PBE relaxed
data_K2Sm2NpS6
_cell_length_a 7.101
_cell_length_b 12.228
_cell_length_c 7.884
_cell_angle_alpha 90.00
_cell_angle_beta 107.68
_cell_angle_gamma 90.00
_symmetry_space_group_name_H-M 'C 1 2/m 1'
_symmetry_Int_Tables_number 12
loop_
_symmetry_equiv_pos_as_xyz
'x,y,z'
'-x,-y,-z'
'-x,y,-z'
'x,-y,z'
'x+1/2,y+1/2,z'
'-x+1/2,-y+1/2,-z'
'-x+1/2,y+1/2,-z'
'x+1/2,-y+1/2,z'
loop_
_atom_site_label
_atom_site_fract_x
_atom_site_fract_y
_atom_site_fract_z
K1 0.000 0.169 0.000
Sm1 0.000 0.334 0.500
Np1 0.000 0.000 0.500
S1 0.226 0.163 0.697
S2 0.248 0.500 0.696
# magnetization: 6.0 μB/cell
# ΔE_f (raw): -1.700 eV per atom

[3]
# NaAl5 PBE relaxed
data_NaAl5
_cell_length_a 4.146
_cell_length_b 12.534
_cell_length_c 4.214
_cell_angle_alpha 90.00
_cell_angle_beta 90.00
_cell_angle_gamma 90.00
_symmetry_space_group_name_H-M 'C m m m'
_symmetry_Int_Tables_number 65
_symmetry_space_group_name_Hall '-C 2 2'
loop_
_atom_site_label
_atom_site_fract_x
_atom_site_fract_y
_atom_site_fract_z
Na1 0.000 0.000 0.000
Al1 0.000 0.171 0.500
Al2 0.000 0.326 0.000
Al3 0.000 0.500 0.500
# energy relative to the elements: 11.5 kJ/mol of atoms
# magnetization: 0.0 μB/cell